Crystalline TaMnZnNi at its relaxed geometry. Source: Alexandria, functional GGA-PBE.

density of states at the Fermi level = 2.5 states/eV/f.u.
volume = 213 Å³ per cell
raw total energy = -7.069 eV per atom
formation energy = -0.05 eV/atom
M_tot = 0.000 μB/atom

Cell: 5.974 5.974 5.974 Å, 90.00 90.00 90.00°
Space group F-43m (No. 216)
Inequivalent atoms, fractional coordinates:
Ta 0.000 0.000 0.000
Mn 0.250 0.250 0.750
Zn 0.000 0.000 0.500
Ni 0.250 0.250 0.250